No. 1
# Nd2Sm4Tm | the Alexandria database | PBE-GGA | relaxed
data_Nd2Sm4Tm
_symmetry_space_group_name_H-M 'P 1'
_symmetry_Int_Tables_number 1
_symmetry_space_group_name_Hall 'P 1'
_cell_length_a 5.378
_cell_length_b 11.461
_cell_length_c 15.571
_cell_angle_alpha 90.00
_cell_angle_beta 90.00
_cell_angle_gamma 90.00
loop_
_atom_site_label
_atom_site_type_symbol
_atom_site_fract_x
_atom_site_fract_y
_atom_site_fract_z
_atom_site_occupancy
Nd1 Nd 0.000 0.895 0.844 1
Nd2 Nd 0.500 0.605 0.156 1
Nd3 Nd 0.000 0.395 0.656 1
Nd4 Nd 0.500 0.105 0.344 1
Nd5 Nd 0.000 0.105 0.156 1
Nd6 Nd 0.500 0.395 0.844 1
Nd7 Nd 0.000 0.605 0.344 1
Nd8 Nd 0.500 0.895 0.656 1
Sm1 Sm 0.000 0.705 0.570 1
Sm2 Sm 0.500 0.795 0.430 1
Sm3 Sm 0.000 0.205 0.930 1
Sm4 Sm 0.500 0.295 0.070 1
Sm5 Sm 0.000 0.295 0.430 1
Sm6 Sm 0.500 0.205 0.570 1
Sm7 Sm 0.000 0.795 0.070 1
Sm8 Sm 0.500 0.705 0.930 1
Sm9 Sm 0.000 0.103 0.694 1
Sm10 Sm 0.500 0.397 0.306 1
Sm11 Sm 0.000 0.603 0.806 1
Sm12 Sm 0.500 0.897 0.194 1
Sm13 Sm 0.000 0.897 0.306 1
Sm14 Sm 0.500 0.603 0.694 1
Sm15 Sm 0.000 0.397 0.194 1
Sm16 Sm 0.500 0.103 0.806 1
Tm1 Tm 0.000 0.000 0.500 1
Tm2 Tm 0.500 0.500 0.500 1
Tm3 Tm 0.000 0.500 0.000 1
Tm4 Tm 0.500 0.000 0.000 1
# Density of states at the Fermi level in states/eV/cell: 39.314
# Offset from the most stable computed form in eV/atom: 0.026
# Formation enthalpy at 0 K in eV/atom: 0.150
# Volume in Å³ per cell: 959.8



No. 2
# Nd12SmTm6 | the Alexandria database | PBE-GGA | relaxed
data_Nd12SmTm6
_symmetry_space_group_name_H-M 'P 1'
_symmetry_Int_Tables_number 1
_symmetry_space_group_name_Hall 'P 1'
_cell_length_a 9.247
_cell_length_b 9.247
_cell_length_c 9.247
_cell_angle_alpha 106.59
_cell_angle_beta 106.59
_cell_angle_gamma 106.59
loop_
_atom_site_label
_atom_site_type_symbol
_atom_site_fract_x
_atom_site_fract_y
_atom_site_fract_z
_atom_site_occupancy
Nd1 Nd 0.481 0.194 0.578 1
Nd2 Nd 0.194 0.578 0.481 1
Nd3 Nd 0.578 0.481 0.194 1
Nd4 Nd 0.519 0.806 0.422 1
Nd5 Nd 0.806 0.422 0.519 1
Nd6 Nd 0.422 0.519 0.806 1
Nd7 Nd 0.279 0.137 0.829 1
Nd8 Nd 0.171 0.721 0.863 1
Nd9 Nd 0.863 0.171 0.721 1
Nd10 Nd 0.721 0.863 0.171 1
Nd11 Nd 0.829 0.279 0.137 1
Nd12 Nd 0.137 0.829 0.279 1
Sm1 Sm 0.000 0.000 0.000 1
Tm1 Tm 0.074 0.189 0.459 1
Tm2 Tm 0.811 0.541 0.926 1
Tm3 Tm 0.541 0.926 0.811 1
Tm4 Tm 0.926 0.811 0.541 1
Tm5 Tm 0.189 0.459 0.074 1
Tm6 Tm 0.459 0.074 0.189 1
# Density of states at the Fermi level in states/eV/cell: 27.741
# Offset from the most stable computed form in eV/atom: 0.107
# Formation enthalpy at 0 K in eV/atom: 0.238
# Volume in Å³ per cell: 665.7



No. 3
# NdSm5Tm6 | the Alexandria database | PBE-GGA | relaxed
data_NdSm5Tm6
_symmetry_space_group_name_H-M 'P 1'
_symmetry_Int_Tables_number 1
_symmetry_space_group_name_Hall 'P 1'
_cell_length_a 9.950
_cell_length_b 9.950
_cell_length_c 5.816
_cell_angle_alpha 106.99
_cell_angle_beta 106.99
_cell_angle_gamma 122.43
loop_
_atom_site_label
_atom_site_type_symbol
_atom_site_fract_x
_atom_site_fract_y
_atom_site_fract_z
_atom_site_occupancy
Tm1 Tm 0.419 0.082 0.250 1
Tm2 Tm 0.918 0.581 0.750 1
Tm3 Tm 0.251 0.251 0.752 1
Tm4 Tm 0.749 0.749 0.248 1
Tm5 Tm 0.082 0.419 0.250 1
Tm6 Tm 0.581 0.918 0.750 1
Nd1 Nd 0.000 0.000 0.000 1
Sm1 Sm 0.834 0.166 0.500 1
Sm2 Sm 0.666 0.334 0.000 1
Sm3 Sm 0.500 0.500 0.500 1
Sm4 Sm 0.334 0.666 0.000 1
Sm5 Sm 0.166 0.834 0.500 1
# Density of states at the Fermi level in states/eV/cell: 21.592
# Formation enthalpy at 0 K in eV/atom: 0.099
# Volume in Å³ per cell: 386.2



No. 4
# Nd4SmTm2 | the Alexandria database | PBE-GGA | relaxed
data_Nd4SmTm2
_symmetry_space_group_name_H-M 'P 1'
_symmetry_Int_Tables_number 1
_symmetry_space_group_name_Hall 'P 1'
_cell_length_a 12.591
_cell_length_b 12.591
_cell_length_c 6.826
_cell_angle_alpha 97.00
_cell_angle_beta 97.00
_cell_angle_gamma 150.21
loop_
_atom_site_label
_atom_site_type_symbol
_atom_site_fract_x
_atom_site_fract_y
_atom_site_fract_z
_atom_site_occupancy
Nd1 Nd 0.714 0.177 0.867 1
Nd2 Nd 0.177 0.714 0.367 1
Nd3 Nd 0.185 0.793 0.899 1
Nd4 Nd 0.793 0.185 0.399 1
Nd5 Nd 0.037 0.145 0.602 1
Nd6 Nd 0.561 0.598 0.135 1
Nd7 Nd 0.598 0.561 0.635 1
Nd8 Nd 0.145 0.037 0.102 1
Sm1 Sm 0.424 0.674 0.500 1
Sm2 Sm 0.674 0.424 0.000 1
Tm1 Tm 0.621 0.304 0.449 1
Tm2 Tm 0.922 0.105 0.051 1
Tm3 Tm 0.105 0.922 0.551 1
Tm4 Tm 0.304 0.621 0.949 1
# Density of states at the Fermi level in states/eV/cell: 20.782
# Offset from the most stable computed form in eV/atom: 0.000
# Formation enthalpy at 0 K in eV/atom: 0.061
# Volume in Å³ per cell: 473.4



No. 5
# Nd7Sm6Tm16 | the Alexandria database | PBE-GGA | relaxed
data_Nd7Sm6Tm16
_symmetry_space_group_name_H-M 'P 1'
_symmetry_Int_Tables_number 1
_symmetry_space_group_name_Hall 'P 1'
_cell_length_a 11.196
_cell_length_b 11.196
_cell_length_c 11.196
_cell_angle_alpha 60.00
_cell_angle_beta 60.00
_cell_angle_gamma 60.00
loop_
_atom_site_label
_atom_site_type_symbol
_atom_site_fract_x
_atom_site_fract_y
_atom_site_fract_z
_atom_site_occupancy
Nd1 Nd 0.000 0.000 0.000 1
Nd2 Nd 0.500 0.000 0.500 1
Nd3 Nd 0.000 0.500 0.000 1
Nd4 Nd 0.000 0.500 0.500 1
Nd5 Nd 0.500 0.000 0.000 1
Nd6 Nd 0.000 0.000 0.500 1
Nd7 Nd 0.500 0.500 0.000 1
Sm1 Sm 0.261 0.739 0.261 1
Sm2 Sm 0.739 0.261 0.739 1
Sm3 Sm 0.739 0.261 0.261 1
Sm4 Sm 0.261 0.739 0.739 1
Sm5 Sm 0.739 0.739 0.261 1
Sm6 Sm 0.261 0.261 0.739 1
Tm1 Tm 0.871 0.871 0.388 1
Tm2 Tm 0.871 0.871 0.871 1
Tm3 Tm 0.871 0.388 0.871 1
Tm4 Tm 0.388 0.871 0.871 1
Tm5 Tm 0.129 0.129 0.129 1
Tm6 Tm 0.129 0.129 0.612 1
Tm7 Tm 0.129 0.612 0.129 1
Tm8 Tm 0.612 0.129 0.129 1
Tm9 Tm 0.651 0.651 0.047 1
Tm10 Tm 0.651 0.651 0.651 1
Tm11 Tm 0.651 0.047 0.651 1
Tm12 Tm 0.047 0.651 0.651 1
Tm13 Tm 0.349 0.349 0.349 1
Tm14 Tm 0.349 0.349 0.953 1
Tm15 Tm 0.349 0.953 0.349 1
Tm16 Tm 0.953 0.349 0.349 1
# Density of states at the Fermi level in states/eV/cell: 47.435
# Formation enthalpy at 0 K in eV/atom: 0.243
# Volume in Å³ per cell: 992.4



No. 6
# Nd3Sm5Tm3 | the Alexandria database | PBE-GGA | relaxed
data_Nd3Sm5Tm3
_symmetry_space_group_name_H-M 'P 1'
_symmetry_Int_Tables_number 1
_symmetry_space_group_name_Hall 'P 1'
_cell_length_a 5.590
_cell_length_b 9.720
_cell_length_c 9.720
_cell_angle_alpha 120.00
_cell_angle_beta 90.00
_cell_angle_gamma 90.00
loop_
_atom_site_label
_atom_site_type_symbol
_atom_site_fract_x
_atom_site_fract_y
_atom_site_fract_z
_atom_site_occupancy
Nd1 Nd 0.000 0.431 0.431 1
Nd2 Nd 0.000 0.569 0.000 1
Nd3 Nd 0.000 0.000 0.569 1
Sm1 Sm 0.500 0.333 0.667 1
Sm2 Sm 0.500 0.667 0.333 1
Sm3 Sm 0.500 0.271 0.271 1
Sm4 Sm 0.500 0.000 0.729 1
Sm5 Sm 0.500 0.729 0.000 1
Tm1 Tm 0.500 0.631 0.631 1
Tm2 Tm 0.500 0.000 0.369 1
Tm3 Tm 0.500 0.369 0.000 1
# Density of states at the Fermi level in states/eV/cell: 17.755
# Offset from the most stable computed form in eV/atom: 0.641
# Formation enthalpy at 0 K in eV/atom: 0.751
# Volume in Å³ per cell: 457.4



No. 7
# Nd5Sm2Tm | the Alexandria database | PBE-GGA | relaxed
data_Nd5Sm2Tm
_symmetry_space_group_name_H-M 'P 1'
_symmetry_Int_Tables_number 1
_symmetry_space_group_name_Hall 'P 1'
_cell_length_a 10.204
_cell_length_b 12.087
_cell_length_c 8.980
_cell_angle_alpha 87.70
_cell_angle_beta 90.00
_cell_angle_gamma 90.00
loop_
_atom_site_label
_atom_site_type_symbol
_atom_site_fract_x
_atom_site_fract_y
_atom_site_fract_z
_atom_site_occupancy
Nd1 Nd 0.249 0.001 0.749 1
Nd2 Nd 0.676 0.233 0.549 1
Nd3 Nd 0.251 0.001 0.249 1
Nd4 Nd 0.662 0.415 0.853 1
Nd5 Nd 0.325 0.234 0.549 1
Nd6 Nd 0.824 0.233 0.049 1
Nd7 Nd 0.340 0.416 0.853 1
Nd8 Nd 0.838 0.415 0.353 1
Nd9 Nd 0.175 0.234 0.049 1
Nd10 Nd 0.840 0.584 0.647 1
Nd11 Nd 0.160 0.416 0.353 1
Nd12 Nd 0.825 0.766 0.951 1
Nd13 Nd 0.162 0.585 0.647 1
Nd14 Nd 0.660 0.584 0.147 1
Nd15 Nd 0.176 0.767 0.951 1
Nd16 Nd 0.675 0.766 0.451 1
Nd17 Nd 0.338 0.585 0.147 1
Nd18 Nd 0.749 0.999 0.751 1
Nd19 Nd 0.324 0.767 0.451 1
Nd20 Nd 0.751 0.999 0.251 1
Sm1 Sm 0.499 0.147 0.907 1
Sm2 Sm 0.001 0.147 0.407 1
Sm3 Sm 0.001 0.294 0.715 1
Sm4 Sm 0.499 0.294 0.215 1
Sm5 Sm 0.501 0.706 0.785 1
Sm6 Sm 0.999 0.706 0.285 1
Sm7 Sm 0.999 0.853 0.593 1
Sm8 Sm 0.501 0.853 0.093 1
Tm1 Tm 0.500 0.000 0.500 1
Tm2 Tm 0.000 0.000 0.000 1
Tm3 Tm 0.500 0.500 0.500 1
Tm4 Tm 0.000 0.500 0.000 1
# Density of states at the Fermi level in states/eV/cell: 48.221
# Offset from the most stable computed form in eV/atom: 0.135
# Formation enthalpy at 0 K in eV/atom: 0.151
# Volume in Å³ per cell: 1106.6



No. 8
# Nd4SmTm2 | the Alexandria database | PBE-GGA | relaxed
data_Nd4SmTm2
_symmetry_space_group_name_H-M 'P 1'
_symmetry_Int_Tables_number 1
_symmetry_space_group_name_Hall 'P 1'
_cell_length_a 6.888
_cell_length_b 9.032
_cell_length_c 9.032
_cell_angle_alpha 78.89
_cell_angle_beta 67.58
_cell_angle_gamma 67.58
loop_
_atom_site_label
_atom_site_type_symbol
_atom_site_fract_x
_atom_site_fract_y
_atom_site_fract_z
_atom_site_occupancy
Nd1 Nd 0.149 0.352 0.349 1
Nd2 Nd 0.149 0.849 0.852 1
Nd3 Nd 0.231 0.240 0.740 1
Nd4 Nd 0.788 0.240 0.740 1
Nd5 Nd 0.212 0.760 0.260 1
Nd6 Nd 0.851 0.151 0.148 1
Nd7 Nd 0.769 0.760 0.260 1
Nd8 Nd 0.851 0.648 0.651 1
Sm1 Sm 0.000 0.500 0.000 1
Sm2 Sm 0.500 0.500 0.000 1
Tm1 Tm 0.281 0.969 0.469 1
Tm2 Tm 0.500 0.000 0.000 1
Tm3 Tm 0.500 0.500 0.500 1
Tm4 Tm 0.719 0.031 0.531 1
# Density of states at the Fermi level in states/eV/cell: 22.203
# Offset from the most stable computed form in eV/atom: 0.198
# Formation enthalpy at 0 K in eV/atom: 0.259
# Volume in Å³ per cell: 479.4



No. 9
# Nd2Sm8Tm3 | the Alexandria database | PBE-GGA | relaxed
data_Nd2Sm8Tm3
_symmetry_space_group_name_H-M 'P 1'
_symmetry_Int_Tables_number 1
_symmetry_space_group_name_Hall 'P 1'
_cell_length_a 6.883
_cell_length_b 9.627
_cell_length_c 9.627
_cell_angle_alpha 57.28
_cell_angle_beta 61.77
_cell_angle_gamma 61.77
loop_
_atom_site_label
_atom_site_type_symbol
_atom_site_fract_x
_atom_site_fract_y
_atom_site_fract_z
_atom_site_occupancy
Nd1 Nd 0.486 0.214 0.214 1
Nd2 Nd 0.514 0.786 0.786 1
Sm1 Sm 0.053 0.584 0.584 1
Sm2 Sm 0.947 0.416 0.416 1
Sm3 Sm 0.006 0.187 0.187 1
Sm4 Sm 0.994 0.813 0.813 1
Sm5 Sm 0.560 0.564 0.198 1
Sm6 Sm 0.560 0.198 0.564 1
Sm7 Sm 0.440 0.802 0.436 1
Sm8 Sm 0.440 0.436 0.802 1
Tm1 Tm 0.500 0.000 0.000 1
Tm2 Tm 0.000 0.170 0.830 1
Tm3 Tm 0.000 0.830 0.170 1
# Density of states at the Fermi level in states/eV/cell: 16.028
# Formation enthalpy at 0 K in eV/atom: 0.212
# Volume in Å³ per cell: 452.1



No. 10
# Nd2Sm3Tm3 | the Alexandria database | PBE-GGA | relaxed
data_Nd2Sm3Tm3
_symmetry_space_group_name_H-M 'P 1'
_symmetry_Int_Tables_number 1
_symmetry_space_group_name_Hall 'P 1'
_cell_length_a 5.603
_cell_length_b 6.598
_cell_length_c 15.925
_cell_angle_alpha 90.00
_cell_angle_beta 90.00
_cell_angle_gamma 115.12
loop_
_atom_site_label
_atom_site_type_symbol
_atom_site_fract_x
_atom_site_fract_y
_atom_site_fract_z
_atom_site_occupancy
Nd1 Nd 0.781 0.563 0.873 1
Nd2 Nd 0.219 0.437 0.373 1
Nd3 Nd 0.781 0.563 0.627 1
Nd4 Nd 0.219 0.437 0.127 1
Sm1 Sm 0.923 0.845 0.406 1
Sm2 Sm 0.077 0.155 0.906 1
Sm3 Sm 0.923 0.845 0.094 1
Sm4 Sm 0.077 0.155 0.594 1
Sm5 Sm 0.733 0.465 0.250 1
Sm6 Sm 0.267 0.535 0.750 1
Tm1 Tm 0.618 0.235 0.450 1
Tm2 Tm 0.382 0.765 0.950 1
Tm3 Tm 0.618 0.235 0.050 1
Tm4 Tm 0.382 0.765 0.550 1
Tm5 Tm 0.458 0.916 0.250 1
Tm6 Tm 0.542 0.084 0.750 1
# Density of states at the Fermi level in states/eV/cell: 23.579
# Offset from the most stable computed form in eV/atom: 0.112
# Formation enthalpy at 0 K in eV/atom: 0.134
# Volume in Å³ per cell: 533.1



No. 11
# Nd3SmTm7 | the Alexandria database | PBE-GGA | relaxed
data_Nd3SmTm7
_symmetry_space_group_name_H-M 'P 1'
_symmetry_Int_Tables_number 1
_symmetry_space_group_name_Hall 'P 1'
_cell_length_a 8.654
_cell_length_b 7.021
_cell_length_c 7.021
_cell_angle_alpha 120.00
_cell_angle_beta 90.00
_cell_angle_gamma 90.00
loop_
_atom_site_label
_atom_site_type_symbol
_atom_site_fract_x
_atom_site_fract_y
_atom_site_fract_z
_atom_site_occupancy
Nd1 Nd 0.784 0.500 0.500 1
Nd2 Nd 0.784 0.500 0.001 1
Nd3 Nd 0.784 0.999 0.500 1
Sm1 Sm 0.445 0.333 0.667 1
Tm1 Tm 0.121 0.167 0.833 1
Tm2 Tm 0.121 0.167 0.334 1
Tm3 Tm 0.123 0.667 0.333 1
Tm4 Tm 0.444 0.833 0.167 1
Tm5 Tm 0.444 0.335 0.167 1
Tm6 Tm 0.444 0.833 0.665 1
Tm7 Tm 0.121 0.666 0.833 1
# Density of states at the Fermi level in states/eV/cell: 16.408
# Offset from the most stable computed form in eV/atom: 0.022
# Formation enthalpy at 0 K in eV/atom: 0.180
# Volume in Å³ per cell: 369.4



No. 12
# Nd3Sm7Tm | the Alexandria database | PBE-GGA | relaxed
data_Nd3Sm7Tm
_symmetry_space_group_name_H-M 'P 1'
_symmetry_Int_Tables_number 1
_symmetry_space_group_name_Hall 'P 1'
_cell_length_a 6.483
_cell_length_b 7.788
_cell_length_c 7.789
_cell_angle_alpha 82.05
_cell_angle_beta 86.57
_cell_angle_gamma 86.58
loop_
_atom_site_label
_atom_site_type_symbol
_atom_site_fract_x
_atom_site_fract_y
_atom_site_fract_z
_atom_site_occupancy
Nd1 Nd 0.000 0.828 0.172 1
Nd2 Nd 0.500 0.000 0.000 1
Nd3 Nd 0.000 0.172 0.828 1
Sm1 Sm 0.786 0.241 0.241 1
Sm2 Sm 0.738 0.912 0.571 1
Sm3 Sm 0.262 0.429 0.088 1
Sm4 Sm 0.738 0.571 0.912 1
Sm5 Sm 0.000 0.500 0.500 1
Sm6 Sm 0.262 0.088 0.429 1
Sm7 Sm 0.214 0.759 0.759 1
Tm1 Tm 0.500 0.500 0.500 1
# Density of states at the Fermi level in states/eV/cell: 15.485
# Offset from the most stable computed form in eV/atom: 0.000
# Formation enthalpy at 0 K in eV/atom: 0.235
# Volume in Å³ per cell: 388.2